Entry 1:
VASP calculation (GGA-PBE) on a geometry-optimized SiTeAs2 structure.

a b c (Å): 3.433 4.867 4.961
angles (deg): 90.00 90.00 90.00
Element x y z (fractional)
1 Si 0.000 0.000 0.000
2 Te 0.500 0.500 0.000
3 As 0.000 0.500 0.500
4 As 0.500 0.000 0.500

Properties
**Space group**: Pmmm, No. 47
**Crystal system**: orthorhombic
**Energy above the most stable polymorph in this dataset**: 392 meV per atom
**ΔE_f (raw)**: 2.13 eV per formula unit
**V**: 20.72 Å³ per atom

Entry 2:
VASP calculation (GGA-PBE) on a geometry-optimized SiTe3As structure.

a b c (Å): 5.220 5.220 5.220
angles (deg): 90.00 90.00 90.00
Element x y z (fractional)
1 Si 0.000 0.000 0.000
2 Te 0.000 0.000 0.500
3 Te 0.000 0.500 0.000
4 Te 0.500 0.000 0.000
5 As 0.500 0.500 0.500

Properties
**Space group**: Pm-3m, No. 221
**Crystal system**: cubic
**Energy above the most stable polymorph in this dataset**: 0 meV per atom
**ΔE_f (raw)**: 3.38 eV per formula unit
**V**: 28.44 Å³ per atom

Entry 3:
VASP calculation (GGA-PBE) on a geometry-optimized Si2TeAs structure.

a b c (Å): 3.855 3.855 5.857
angles (deg): 90.00 90.00 90.00
Element x y z (fractional)
1 Si 0.000 0.000 0.000
2 Si 0.500 0.500 0.442
3 Te 0.000 0.000 0.532
4 As 0.500 0.500 0.027

Properties
**Space group**: P4mm, No. 99
**Crystal system**: tetragonal
**Energy above the most stable polymorph in this dataset**: 115 meV per atom
**ΔE_f (raw)**: 0.93 eV per formula unit
**V**: 21.76 Å³ per atom

Entry 4:
VASP calculation (GGA-PBE) on a geometry-optimized Si2TeAs structure.

a b c (Å): 5.771 9.440 3.157
angles (deg): 90.00 111.77 90.00
Element x y z (fractional)
1 Si 0.250 0.250 0.000
2 Si 0.250 0.750 0.000
3 Si 0.750 0.250 0.000
4 Si 0.750 0.750 0.000
5 Te 0.000 0.000 0.500
6 Te 0.500 0.500 0.500
7 As 0.000 0.500 0.500
8 As 0.500 0.000 0.500

Properties
**Space group**: C2/m, No. 12
**Crystal system**: monoclinic
**Energy above the most stable polymorph in this dataset**: 511 meV per atom
**ΔE_f (raw)**: 2.52 eV per formula unit
**V**: 19.97 Å³ per atom